1.
# Mn3Co (meta-GGA SCAN, PBEsol geometry)
data_Mn3Co
_chemical_formula_sum 'Mn9 Co3'
_space_group_name_H-M_alt 'R -3 m'
_space_group_IT_number 166
_space_group_name_Hall '-R 3 2"'
_cell_length_a 2.4282
_cell_length_b 2.4282
_cell_length_c 23.8818
_cell_angle_alpha 90.00
_cell_angle_beta 90.00
_cell_angle_gamma 120.00
loop_
_atom_site_label
_atom_site_fract_x
_atom_site_fract_y
_atom_site_fract_z
Mn1 0.0000 0.0000 0.0000
Mn2 0.0000 0.0000 0.2503
Co1 0.0000 0.0000 0.5000
# ΔH_f (0 K) = 59 kJ/mol of formula units


2.
# Mn3Co (meta-GGA SCAN, PBEsol geometry)
data_Mn3Co
_chemical_formula_sum 'Mn3 Co1'
_space_group_name_H-M_alt 'P m m m'
_space_group_IT_number 47
_space_group_name_Hall '-P 2 2'
_cell_length_a 2.4428
_cell_length_b 3.4505
_cell_length_c 4.9092
_cell_angle_alpha 90.00
_cell_angle_beta 90.00
_cell_angle_gamma 90.00
loop_
_atom_site_label
_atom_site_fract_x
_atom_site_fract_y
_atom_site_fract_z
Mn1 0.0000 0.0000 0.0000
Mn2 0.5000 0.5000 0.2518
Co1 0.0000 0.0000 0.5000
# ΔH_f (0 K) = 3 kJ/mol of formula units


3.
# Mn3Co (meta-GGA SCAN, PBEsol geometry)
data_Mn3Co
_chemical_formula_sum 'Mn3 Co1'
_space_group_name_H-M_alt 'P m m 2'
_space_group_IT_number 25
_space_group_name_Hall 'P 2 -2'
_cell_length_a 2.4320
_cell_length_b 3.9091
_cell_length_c 4.2591
_cell_angle_alpha 90.00
_cell_angle_beta 90.00
_cell_angle_gamma 90.00
loop_
_atom_site_label
_atom_site_fract_x
_atom_site_fract_y
_atom_site_fract_z
Mn1 0.0000 0.0000 0.0000
Mn2 0.0000 0.5000 0.3289
Mn3 0.5000 0.5000 0.8279
Co1 0.5000 0.0000 0.4943
# ΔH_f (0 K) = 41 kJ/mol of formula units


4.
# Mn7Co (meta-GGA SCAN, PBEsol geometry)
data_Mn7Co
_chemical_formula_sum 'Mn28 Co4'
_space_group_name_H-M_alt 'F m -3 m'
_space_group_IT_number 225
_space_group_name_Hall '-F 4 2 3'
_cell_length_a 6.8987
_cell_length_b 6.8987
_cell_length_c 6.8987
_cell_angle_alpha 90.00
_cell_angle_beta 90.00
_cell_angle_gamma 90.00
loop_
_atom_site_label
_atom_site_fract_x
_atom_site_fract_y
_atom_site_fract_z
Mn1 0.0000 0.0000 0.0000
Mn2 0.0000 0.2500 0.2500
Co1 0.0000 0.0000 0.5000
# ΔH_f (0 K) = 108 kJ/mol of formula units


5.
# MnCo5 (meta-GGA SCAN, PBEsol geometry)
data_MnCo5
_chemical_formula_sum 'Mn4 Co20'
_space_group_name_H-M_alt 'F -4 3 m'
_space_group_IT_number 216
_space_group_name_Hall 'F -4 2 3'
_cell_length_a 6.4553
_cell_length_b 6.4553
_cell_length_c 6.4553
_cell_angle_alpha 90.00
_cell_angle_beta 90.00
_cell_angle_gamma 90.00
loop_
_atom_site_label
_atom_site_fract_x
_atom_site_fract_y
_atom_site_fract_z
Mn1 0.0000 0.0000 0.0000
Co1 0.1253 0.1253 0.3747
Co2 0.2500 0.2500 0.7500
# ΔH_f (0 K) = 30 kJ/mol of formula units


6.
# MnCo2 (meta-GGA SCAN, PBEsol geometry)
data_MnCo2
_chemical_formula_sum 'Mn4 Co8'
_space_group_name_H-M_alt 'C 1 2/m 1'
_space_group_IT_number 12
_space_group_name_Hall '-C 2y'
_cell_length_a 8.8518
_cell_length_b 2.4336
_cell_length_c 5.7432
_cell_angle_alpha 90.00
_cell_angle_beta 104.15
_cell_angle_gamma 90.00
loop_
_atom_site_label
_atom_site_fract_x
_atom_site_fract_y
_atom_site_fract_z
Mn1 0.1946 0.0000 0.1383
Co1 0.0274 0.5000 0.8074
Co2 0.1402 0.0000 0.5308
# ΔH_f (0 K) = 62 kJ/mol of formula units


7.
# Mn3Co (meta-GGA SCAN, PBEsol geometry)
data_Mn3Co
_chemical_formula_sum 'Mn6 Co2'
_space_group_name_H-M_alt 'I m m 2'
_space_group_IT_number 44
_space_group_name_Hall 'I 2 -2'
_cell_length_a 2.4284
_cell_length_b 7.8125
_cell_length_c 4.2684
_cell_angle_alpha 90.00
_cell_angle_beta 90.00
_cell_angle_gamma 90.00
loop_
_atom_site_label
_atom_site_fract_x
_atom_site_fract_y
_atom_site_fract_z
Mn1 0.0000 0.0000 0.0000
Mn2 0.0000 0.2497 0.6720
Co1 0.0000 0.5000 0.0027
# ΔH_f (0 K) = 57 kJ/mol of formula units


8.
# MnCo2 (meta-GGA SCAN, PBEsol geometry)
data_MnCo2
_chemical_formula_sum 'Mn4 Co8'
_space_group_name_H-M_alt 'C m c m'
_space_group_IT_number 63
_space_group_name_Hall '-C 2c 2'
_cell_length_a 2.4195
_cell_length_b 12.6881
_cell_length_c 3.8750
_cell_angle_alpha 90.00
_cell_angle_beta 90.00
_cell_angle_gamma 90.00
loop_
_atom_site_label
_atom_site_fract_x
_atom_site_fract_y
_atom_site_fract_z
Mn1 0.0000 0.1123 0.2500
Co1 0.0000 0.2229 0.7500
Co2 0.0000 0.4460 0.2500
# ΔH_f (0 K) = 83 kJ/mol of formula units


9.
# MnCo5 (meta-GGA SCAN, PBEsol geometry)
data_MnCo5
_chemical_formula_sum 'Mn2 Co10'
_space_group_name_H-M_alt 'A m m 2'
_space_group_IT_number 38
_space_group_name_Hall 'A 2 -2'
_cell_length_a 3.9097
_cell_length_b 2.4467
_cell_length_c 12.7451
_cell_angle_alpha 90.00
_cell_angle_beta 90.00
_cell_angle_gamma 90.00
loop_
_atom_site_label
_atom_site_fract_x
_atom_site_fract_y
_atom_site_fract_z
Mn1 0.0000 0.0000 0.0000
Co1 0.0000 0.0000 0.3338
Co2 0.0000 0.0000 0.6670
Co3 0.5000 0.0000 0.2233
Co4 0.5000 0.0000 0.5570
Co5 0.5000 0.0000 0.8899
# ΔH_f (0 K) = 74 kJ/mol of formula units


10.
# MnCo2 (meta-GGA SCAN, PBEsol geometry)
data_MnCo2
_chemical_formula_sum 'Mn2 Co4'
_space_group_name_H-M_alt 'I m m m'
_space_group_IT_number 71
_space_group_name_Hall '-I 2 2'
_cell_length_a 2.4155
_cell_length_b 3.4344
_cell_length_c 7.2654
_cell_angle_alpha 90.00
_cell_angle_beta 90.00
_cell_angle_gamma 90.00
loop_
_atom_site_label
_atom_site_fract_x
_atom_site_fract_y
_atom_site_fract_z
Mn1 0.0000 0.0000 0.0000
Co1 0.0000 0.0000 0.3341
# ΔH_f (0 K) = 55 kJ/mol of formula units


11.
# Mn5Co4 (meta-GGA SCAN, PBEsol geometry)
data_Mn5Co4
_chemical_formula_sum 'Mn10 Co8'
_space_group_name_H-M_alt 'I 4/m m m'
_space_group_IT_number 139
_space_group_name_Hall '-I 4 2'
_cell_length_a 7.2625
_cell_length_b 7.2625
_cell_length_c 3.4328
_cell_angle_alpha 90.00
_cell_angle_beta 90.00
_cell_angle_gamma 90.00
loop_
_atom_site_label
_atom_site_fract_x
_atom_site_fract_y
_atom_site_fract_z
Mn1 0.0000 0.0000 0.0000
Mn2 0.1671 0.1671 0.5000
Co1 0.0000 0.3314 0.0000
# ΔH_f (0 K) = 127 kJ/mol of formula units


12.
# MnCo2 (meta-GGA SCAN, PBEsol geometry)
data_MnCo2
_chemical_formula_sum 'Mn4 Co8'
_space_group_name_H-M_alt 'C 1 m 1'
_space_group_IT_number 8
_space_group_name_Hall 'C -2y'
_cell_length_a 8.8764
_cell_length_b 2.4285
_cell_length_c 5.7394
_cell_angle_alpha 90.00
_cell_angle_beta 104.15
_cell_angle_gamma 90.00
loop_
_atom_site_label
_atom_site_fract_x
_atom_site_fract_y
_atom_site_fract_z
Mn1 0.0000 0.0000 0.0000
Mn2 0.1680 0.5000 0.3314
Co1 0.1110 0.5000 0.7213
Co2 0.2768 0.0000 0.0538
Co3 0.3339 0.0000 0.6641
Co4 0.4461 0.5000 0.3854
# ΔH_f (0 K) = 48 kJ/mol of formula units


13.
# Mn3Co (meta-GGA SCAN, PBEsol geometry)
data_Mn3Co
_chemical_formula_sum 'Mn3 Co1'
_space_group_name_H-M_alt 'P -6 m 2'
_space_group_IT_number 187
_space_group_name_Hall 'P -6 2'
_cell_length_a 2.4432
_cell_length_b 2.4432
_cell_length_c 7.8441
_cell_angle_alpha 90.00
_cell_angle_beta 90.00
_cell_angle_gamma 120.00
loop_
_atom_site_label
_atom_site_fract_x
_atom_site_fract_y
_atom_site_fract_z
Mn1 0.0000 0.0000 0.0000
Mn2 0.6667 0.3333 0.2513
Co1 0.0000 0.0000 0.5000
# ΔH_f (0 K) = 79 kJ/mol of formula units


14.
# MnCo5 (meta-GGA SCAN, PBEsol geometry)
data_MnCo5
_chemical_formula_sum 'Mn1 Co5'
_space_group_name_H-M_alt 'P 4/m m m'
_space_group_IT_number 123
_space_group_name_Hall '-P 4 2'
_cell_length_a 2.4291
_cell_length_b 2.4291
_cell_length_c 10.3651
_cell_angle_alpha 90.00
_cell_angle_beta 90.00
_cell_angle_gamma 90.00
loop_
_atom_site_label
_atom_site_fract_x
_atom_site_fract_y
_atom_site_fract_z
Mn1 0.0000 0.0000 0.0000
Co1 0.0000 0.0000 0.3327
Co2 0.5000 0.5000 0.1645
Co3 0.5000 0.5000 0.5000
# ΔH_f (0 K) = 66 kJ/mol of formula units


15.
# Mn8Co (meta-GGA SCAN, PBEsol geometry)
data_Mn8Co
_chemical_formula_sum 'Mn16 Co2'
_space_group_name_H-M_alt 'I 4/m m m'
_space_group_IT_number 139
_space_group_name_Hall '-I 4 2'
_cell_length_a 7.3230
_cell_length_b 7.3230
_cell_length_c 3.4433
_cell_angle_alpha 90.00
_cell_angle_beta 90.00
_cell_angle_gamma 90.00
loop_
_atom_site_label
_atom_site_fract_x
_atom_site_fract_y
_atom_site_fract_z
Mn1 0.0000 0.3308 0.0000
Mn2 0.1652 0.1652 0.5000
Co1 0.0000 0.0000 0.0000
# ΔH_f (0 K) = 32 kJ/mol of formula units


16.
# Mn3Co (meta-GGA SCAN, PBEsol geometry)
data_Mn3Co
_chemical_formula_sum 'Mn6 Co2'
_space_group_name_H-M_alt 'C m m m'
_space_group_IT_number 65
_space_group_name_Hall '-C 2 2'
_cell_length_a 4.8957
_cell_length_b 6.9136
_cell_length_c 2.4481
_cell_angle_alpha 90.00
_cell_angle_beta 90.00
_cell_angle_gamma 90.00
loop_
_atom_site_label
_atom_site_fract_x
_atom_site_fract_y
_atom_site_fract_z
Mn1 0.0000 0.0000 0.0000
Mn2 0.2500 0.2500 0.5000
Co1 0.0000 0.5000 0.0000
# ΔH_f (0 K) = -1 kJ/mol of formula units


17.
# MnCo2 (meta-GGA SCAN, PBEsol geometry)
data_MnCo2
_chemical_formula_sum 'Mn4 Co8'
_space_group_name_H-M_alt 'I 41/a m d'
_space_group_IT_number 141
_cell_length_a 2.4084
_cell_length_b 2.4084
_cell_length_c 21.4348
_cell_angle_alpha 90.00
_cell_angle_beta 90.00
_cell_angle_gamma 90.00
loop_
_space_group_symop_operation_xyz
'x,y,z'
'-x,-y,-z'
'-y+1/4,x+3/4,z+1/4'
'y+1/4,-x+3/4,-z+1/4'
'-x+1/2,-y,z+1/2'
'x+1/2,y,-z+1/2'
'y+1/4,-x+1/4,z+3/4'
'-y+1/4,x+1/4,-z+3/4'
'x,-y,-z'
'-x,y,z'
'-y+1/4,-x+1/4,-z+3/4'
'y+1/4,x+1/4,z+3/4'
'-x+1/2,y,-z+1/2'
'x+1/2,-y,z+1/2'
'y+1/4,x+3/4,-z+1/4'
'-y+1/4,-x+3/4,z+1/4'
'x+1/2,y+1/2,z+1/2'
'-x+1/2,-y+1/2,-z+1/2'
'-y+3/4,x+1/4,z+3/4'
'y+3/4,-x+1/4,-z+3/4'
'-x,-y+1/2,z'
'x,y+1/2,-z'
'y+3/4,-x+3/4,z+1/4'
'-y+3/4,x+3/4,-z+1/4'
'x+1/2,-y+1/2,-z+1/2'
'-x+1/2,y+1/2,z+1/2'
'-y+3/4,-x+3/4,-z+1/4'
'y+3/4,x+3/4,z+1/4'
'-x,y+1/2,-z'
'x,-y+1/2,z'
'y+3/4,x+1/4,-z+3/4'
'-y+3/4,-x+1/4,z+3/4'
loop_
_atom_site_label
_atom_site_fract_x
_atom_site_fract_y
_atom_site_fract_z
Mn1 0.0000 0.2500 0.3750
Co1 0.0000 0.2500 0.7970
# ΔH_f (0 K) = 112 kJ/mol of formula units


18.
# MnCoMo2 (meta-GGA SCAN, PBEsol geometry)
data_MnCoMo2
_chemical_formula_sum 'Mn2 Co2 Mo4'
_space_group_name_H-M_alt 'I 4/m m m'
_space_group_IT_number 139
_space_group_name_Hall '-I 4 2'
_cell_length_a 3.7283
_cell_length_b 3.7283
_cell_length_c 7.3713
_cell_angle_alpha 90.00
_cell_angle_beta 90.00
_cell_angle_gamma 90.00
loop_
_atom_site_label
_atom_site_fract_x
_atom_site_fract_y
_atom_site_fract_z
Mn1 0.0000 0.0000 0.0000
Co1 0.0000 0.0000 0.5000
Mo1 0.0000 0.5000 0.2500
# ΔH_f (0 K) = 48 kJ/mol of formula units
# E above lowest polymorph = 0.000 eV per atom


19.
# MnCoMo2 (meta-GGA SCAN, PBEsol geometry)
data_MnCoMo2
_chemical_formula_sum 'Mn3 Co3 Mo6'
_space_group_name_H-M_alt 'R 3 m'
_space_group_IT_number 160
_space_group_name_Hall 'R 3 -2"'
_cell_length_a 2.6389
_cell_length_b 2.6389
_cell_length_c 26.1342
_cell_angle_alpha 90.00
_cell_angle_beta 90.00
_cell_angle_gamma 120.00
loop_
_atom_site_label
_atom_site_fract_x
_atom_site_fract_y
_atom_site_fract_z
Mn1 0.0000 0.0000 0.0000
Co1 0.0000 0.0000 0.7396
Mo1 0.0000 0.0000 0.2501
Mo2 0.0000 0.0000 0.4874
# ΔH_f (0 K) = 130 kJ/mol of formula units
# E above lowest polymorph = 0.212 eV per atom


20.
# MnCoMo2 (meta-GGA SCAN, PBEsol geometry)
data_MnCoMo2
_chemical_formula_sum 'Mn2 Co2 Mo4'
_space_group_name_H-M_alt 'I m m 2'
_space_group_IT_number 44
_space_group_name_Hall 'I 2 -2'
_cell_length_a 3.0482
_cell_length_b 4.1504
_cell_length_c 8.2388
_cell_angle_alpha 90.00
_cell_angle_beta 90.00
_cell_angle_gamma 90.00
loop_
_atom_site_label
_atom_site_fract_x
_atom_site_fract_y
_atom_site_fract_z
Mn1 0.0000 0.0000 0.0000
Co1 0.0000 0.5000 0.2497
Mo1 0.0000 0.0000 0.4904
Mo2 0.0000 0.5000 0.7396
# ΔH_f (0 K) = 63 kJ/mol of formula units
# E above lowest polymorph = 0.038 eV per atom


21.
# MnTl2CoMo (meta-GGA SCAN, PBEsol geometry)
data_MnTl2CoMo
_chemical_formula_sum 'Mn1 Tl2 Co1 Mo1'
_space_group_name_H-M_alt 'P 4/m m m'
_space_group_IT_number 123
_space_group_name_Hall '-P 4 2'
_cell_length_a 5.2695
_cell_length_b 5.2695
_cell_length_c 4.3935
_cell_angle_alpha 90.00
_cell_angle_beta 90.00
_cell_angle_gamma 90.00
loop_
_atom_site_label
_atom_site_fract_x
_atom_site_fract_y
_atom_site_fract_z
Mn1 0.0000 0.0000 0.0000
Tl1 0.0000 0.5000 0.5000
Co1 0.5000 0.5000 0.0000
Mo1 0.0000 0.0000 0.5000
# ΔH_f (0 K) = 660 kJ/mol of formula units


22.
# MnNbCo2 (meta-GGA SCAN, PBEsol geometry)
data_MnNbCo2
_chemical_formula_sum 'Mn4 Nb4 Co8'
_space_group_name_H-M_alt 'F m -3 m'
_space_group_IT_number 225
_space_group_name_Hall '-F 4 2 3'
_cell_length_a 5.8865
_cell_length_b 5.8865
_cell_length_c 5.8865
_cell_angle_alpha 90.00
_cell_angle_beta 90.00
_cell_angle_gamma 90.00
loop_
_atom_site_label
_atom_site_fract_x
_atom_site_fract_y
_atom_site_fract_z
Mn1 0.0000 0.0000 0.0000
Nb1 0.0000 0.0000 0.5000
Co1 0.2500 0.2500 0.2500
# ΔH_f (0 K) = -108 kJ/mol of formula units


23.
# MnCo2Ni (meta-GGA SCAN, PBEsol geometry)
data_MnCo2Ni
_chemical_formula_sum 'Mn2 Co4 Ni2'
_space_group_name_H-M_alt 'C 1 2/m 1'
_space_group_IT_number 12
_space_group_name_Hall '-C 2y'
_cell_length_a 4.8054
_cell_length_b 8.0177
_cell_length_c 2.4078
_cell_angle_alpha 90.00
_cell_angle_beta 111.12
_cell_angle_gamma 90.00
loop_
_atom_site_label
_atom_site_fract_x
_atom_site_fract_y
_atom_site_fract_z
Mn1 0.0000 0.0000 0.0000
Co1 0.2500 0.2500 0.5000
Ni1 0.0000 0.5000 0.0000
# ΔH_f (0 K) = -21 kJ/mol of formula units


24.
# MnCoNi6 (meta-GGA SCAN, PBEsol geometry)
data_MnCoNi6
_chemical_formula_sum 'Mn8 Co8 Ni48'
_space_group_name_H-M_alt 'C m m m'
_space_group_IT_number 65
_space_group_name_Hall '-C 2 2'
_cell_length_a 6.9701
_cell_length_b 9.8688
_cell_length_c 9.8677
_cell_angle_alpha 90.00
_cell_angle_beta 90.00
_cell_angle_gamma 90.00
loop_
_atom_site_label
_atom_site_fract_x
_atom_site_fract_y
_atom_site_fract_z
Mn1 0.0000 0.0000 0.2497
Mn2 0.0000 0.2480 0.0000
Co1 0.0000 0.2467 0.5000
Co2 0.0000 0.5000 0.2508
Ni1 0.0000 0.0000 0.0000
Ni2 0.0000 0.0000 0.5000
Ni3 0.0000 0.2516 0.2534
Ni4 0.0000 0.5000 0.0000
Ni5 0.0000 0.5000 0.5000
Ni6 0.2475 0.3741 0.3763
Ni7 0.2468 0.3757 0.1268
# ΔH_f (0 K) = -103 kJ/mol of formula units


25.
# Mn2CoNi (meta-GGA SCAN, PBEsol geometry)
data_Mn2CoNi
_chemical_formula_sum 'Mn2 Co1 Ni1'
_space_group_name_H-M_alt 'P 1 2/m 1'
_space_group_IT_number 10
_space_group_name_Hall '-P 2y'
_cell_length_a 2.3787
_cell_length_b 4.0304
_cell_length_c 4.4671
_cell_angle_alpha 90.00
_cell_angle_beta 96.80
_cell_angle_gamma 90.00
loop_
_atom_site_label
_atom_site_fract_x
_atom_site_fract_y
_atom_site_fract_z
Mn1 0.2343 0.0000 0.2520
Co1 0.0000 0.5000 0.5000
Ni1 0.5000 0.5000 0.0000
# ΔH_f (0 K) = 29 kJ/mol of formula units
# E above lowest polymorph = 0.413 eV per atom


26.
# Mn2CoNi (meta-GGA SCAN, PBEsol geometry)
data_Mn2CoNi
_chemical_formula_sum 'Mn2 Co1 Ni1'
_space_group_name_H-M_alt 'P m m 2'
_space_group_IT_number 25
_space_group_name_Hall 'P 2 -2'
_cell_length_a 2.4132
_cell_length_b 3.8966
_cell_length_c 4.2921
_cell_angle_alpha 90.00
_cell_angle_beta 90.00
_cell_angle_gamma 90.00
loop_
_atom_site_label
_atom_site_fract_x
_atom_site_fract_y
_atom_site_fract_z
Mn1 0.0000 0.0000 0.0000
Mn2 0.0000 0.5000 0.3181
Co1 0.5000 0.0000 0.4965
Ni1 0.5000 0.5000 0.8172
# ΔH_f (0 K) = 72 kJ/mol of formula units
# E above lowest polymorph = 0.523 eV per atom


27.
# Mn2CoNi (meta-GGA SCAN, PBEsol geometry)
data_Mn2CoNi
_chemical_formula_sum 'Mn8 Co4 Ni4'
_space_group_name_H-M_alt 'F m -3 m'
_space_group_IT_number 225
_space_group_name_Hall '-F 4 2 3'
_cell_length_a 5.6974
_cell_length_b 5.6974
_cell_length_c 5.6974
_cell_angle_alpha 90.00
_cell_angle_beta 90.00
_cell_angle_gamma 90.00
loop_
_atom_site_label
_atom_site_fract_x
_atom_site_fract_y
_atom_site_fract_z
Mn1 0.2500 0.2500 0.2500
Co1 0.0000 0.0000 0.0000
Ni1 0.0000 0.0000 0.5000
# ΔH_f (0 K) = -130 kJ/mol of formula units
# E above lowest polymorph = 0.000 eV per atom